# AlCrPbO6

A relaxed structure of AlCrPbO6 (GGA+U, Alexandria via LeMat-Bulk).

Cell lengths 4.6538, 4.6538, 9.2826 Å; angles 90.00, 90.00, 90.00 degrees
Space group P4_2nm (No. 102)
Symmetry-distinct sites (fractional):
1 Al 0.0000 0.0000 0.0000
2 Cr 0.0000 0.0000 0.6676
3 Pb 0.0000 0.0000 0.3340
4 O 0.1747 0.1747 0.8354
5 O 0.2094 0.2094 0.1491
6 O 0.2097 0.2097 0.5193

Output
The total energy comes out at -0.4753 Ry/atom.